VASP calculation (PBE+U) on crystalline YFeH2F at its relaxed geometry.

Lattice parameters (Å, degrees): 4.2043 4.3852 4.2043 90.00 90.00 90.00
Last column: nearest neighbours and their distance in Å.
Sites, in units of the cell vectors:
Y  0.0000  0.0000  0.0000  4 H 2.10, 2 F 2.19
H  0.0000  0.0000  0.5000  2 Y 2.10
H  0.5000  0.0000  0.0000  2 Y 2.10
Fe  0.5000  0.5000  0.5000  4 F 2.97, 8 H 3.04
F  0.0000  0.5000  0.0000  2 Y 2.19

space-group type: P4/mmm, No. 123
total moment: 3.6 μB per formula unit
final energy: -4.7057 eV/atom